1.
This record from the Alexandria database describes an optimized crystal structure of NpGe2Pd7. The functional is PBE.

Cell: 7.147 7.147 4.454 Å, 90.00 90.00 117.91°
Element x y z (fractional)
Np1 0.000 0.000 0.000
Ge1 0.304 0.696 0.500
Ge2 0.696 0.304 0.500
Pd1 0.064 0.306 0.500
Pd2 0.225 0.775 0.000
Pd3 0.306 0.064 0.500
Pd4 0.500 0.500 0.500
Pd5 0.694 0.936 0.500
Pd6 0.775 0.225 0.000
Pd7 0.936 0.694 0.500

Results
As for the total DFT energy (no corrections): -6.01 eV/atom. The space group is Cmmm. The formation energy comes out at -14.7 kJ/mol of atoms. The volume comes out at 20.10 A^3/atom.

---

2.
This record from the Alexandria database describes an optimized crystal structure of InTe2N2. The functional is PBE.

Cell: 5.992 5.992 4.033 Å, 90.00 90.00 90.00°
Element x y z (fractional)
In1 0.000 0.000 0.000
Te1 0.000 0.500 0.000
Te2 0.500 0.000 0.000
N1 0.000 0.000 0.500
N2 0.500 0.500 0.500

Results
As for the total DFT energy (no corrections): -3.19 eV/atom. The space group is P4/mmm. The calculation puts the formation energy from raw total energies at 187.3 kJ per mole of atoms. The volume comes out at 28.96 A^3/atom.

---

3.
This record from the Alexandria database describes an optimized crystal structure of AcInSi2Pt5. The functional is PBE.

Cell: 4.133 4.133 10.956 Å, 90.00 90.00 90.00°
Element x y z (fractional)
Ac1 0.000 0.000 0.000
In1 0.000 0.000 0.500
Si1 0.500 0.500 0.216
Si2 0.500 0.500 0.784
Pt1 0.000 0.500 0.324
Pt2 0.000 0.500 0.676
Pt3 0.500 0.000 0.324
Pt4 0.500 0.000 0.676
Pt5 0.500 0.500 0.000

Results
As for the total DFT energy (no corrections): -6.08 eV/atom. The space group is P4/mmm. The calculation puts the formation energy from raw total energies at -72.8 kJ per mole of atoms. The volume comes out at 20.80 A^3/atom.

---

4.
This record from the Alexandria database describes an optimized crystal structure of RbZr3N. The functional is PBE.

Cell: 4.723 4.723 4.723 Å, 90.00 90.00 90.00°
Element x y z (fractional)
Rb1 0.000 0.000 0.000
Zr1 0.000 0.500 0.500
Zr2 0.500 0.000 0.500
Zr3 0.500 0.500 0.000
N1 0.500 0.500 0.500

Results
As for the total DFT energy (no corrections): -6.68 eV/atom. The space group is Pm-3m. The calculation puts the formation energy from raw total energies at 29.8 kJ per mole of atoms. The volume comes out at 21.07 A^3/atom.

---

5.
This record from the Alexandria database describes an optimized crystal structure of Ni2SbAs. The functional is PBE.

Cell: 7.562 6.652 5.094 Å, 90.00 90.00 90.00°
Element x y z (fractional)
Ni1 0.106 0.250 0.000
Ni2 0.106 0.250 0.500
Ni3 0.355 0.750 0.000
Ni4 0.355 0.750 0.500
Ni5 0.645 0.250 0.000
Ni6 0.645 0.250 0.500
Ni7 0.894 0.750 0.000
Ni8 0.894 0.750 0.500
Sb1 0.373 0.088 0.250
Sb2 0.373 0.412 0.750
Sb3 0.627 0.588 0.250
Sb4 0.627 0.912 0.750
As1 0.122 0.575 0.250
As2 0.122 0.925 0.750
As3 0.878 0.075 0.250
As4 0.878 0.425 0.750

Results
As for the total DFT energy (no corrections): -5.34 eV/atom. The space group is Pbcm. The calculation puts the formation energy from raw total energies at -25.2 kJ per mole of atoms. The volume comes out at 16.02 A^3/atom.

---

6.
This record from the Alexandria database describes an optimized crystal structure of Ta3InPt. The functional is PBE.

Cell: 4.899 4.899 4.899 Å, 90.00 90.00 90.00°
Element x y z (fractional)
Ta1 0.000 0.000 0.500
Ta2 0.000 0.500 0.000
Ta3 0.500 0.000 0.000
In1 0.500 0.500 0.500
Pt1 0.000 0.000 0.000

Results
As for the total DFT energy (no corrections): -7.86 eV/atom. The space group is Pm-3m. The formation energy comes out at 97.0 kJ/mol of atoms. The volume comes out at 23.52 A^3/atom.

---

7.
This record from the Alexandria database describes an optimized crystal structure of Dy8Er2Cd. The functional is PBE.

Cell: 6.052 6.066 9.245 Å, 90.05 96.08 99.78°
Element x y z (fractional)
Dy1 0.048 0.093 0.179
Dy2 0.134 0.275 0.544
Dy3 0.231 0.459 0.910
Dy4 0.411 0.819 0.638
Dy5 0.589 0.181 0.362
Dy6 0.769 0.541 0.090
Dy7 0.866 0.725 0.456
Dy8 0.952 0.907 0.821
Er1 0.312 0.638 0.270
Er2 0.688 0.362 0.730
Cd1 0.500 0.000 0.000

Results
As for the total DFT energy (no corrections): -4.26 eV/atom. The space group is P-1. The formation energy comes out at -0.5 kJ/mol of atoms. The volume comes out at 30.23 A^3/atom.

---

8.
This record from the Alexandria database describes an optimized crystal structure of Pm2Pr2DyTm2. The functional is PBE.

Cell: 8.858 8.858 8.858 Å, 37.79 37.79 37.79°
Element x y z (fractional)
Pm1 0.216 0.216 0.216
Pm2 0.784 0.784 0.784
Pr1 0.362 0.362 0.362
Pr2 0.638 0.638 0.638
Dy1 0.500 0.500 0.500
Tm1 0.072 0.072 0.072
Tm2 0.928 0.928 0.928

Results
As for the total DFT energy (no corrections): -4.53 eV/atom. The space group is R-3m. The formation energy comes out at 12.1 kJ/mol of atoms. The volume comes out at 33.45 A^3/atom.

---

9.
This record from the Alexandria database describes an optimized crystal structure of Ac3CuPb2. The functional is PBE.

Cell: 9.226 9.226 7.066 Å, 101.09 101.09 43.93°
Element x y z (fractional)
Ac1 0.155 0.845 0.750
Ac2 0.234 0.440 0.385
Ac3 0.440 0.234 0.885
Ac4 0.560 0.766 0.115
Ac5 0.766 0.560 0.615
Ac6 0.845 0.155 0.250
Cu1 0.369 0.631 0.250
Cu2 0.631 0.369 0.750
Pb1 0.063 0.260 0.041
Pb2 0.260 0.063 0.541
Pb3 0.740 0.937 0.459
Pb4 0.937 0.740 0.959

Results
As for the total DFT energy (no corrections): -4.23 eV/atom. The space group is C2/c. The formation energy comes out at -24.5 kJ/mol of atoms. The volume comes out at 34.02 A^3/atom.

---

10.
This record from the Alexandria database describes an optimized crystal structure of Li3CePr2S6. The functional is PBE.

Cell: 7.068 7.068 6.638 Å, 100.21 100.21 120.01°
Element x y z (fractional)
Li1 0.000 0.000 0.000
Li2 0.337 0.663 0.000
Li3 0.663 0.337 0.000
Ce1 0.500 0.500 0.500
Pr1 0.167 0.833 0.500
Pr2 0.833 0.167 0.500
S1 0.085 0.414 0.242
S2 0.256 0.256 0.757
S3 0.414 0.085 0.242
S4 0.586 0.915 0.758
S5 0.744 0.744 0.243
S6 0.915 0.586 0.758

Results
As for the total DFT energy (no corrections): -5.58 eV/atom. The space group is C2/m. The calculation puts the formation energy from raw total energies at -168.6 kJ per mole of atoms. The volume comes out at 22.38 A^3/atom.

---

11.
This record from the Alexandria database describes an optimized crystal structure of Ca2SbCl. The functional is PBE.

Cell: 7.718 7.718 7.718 Å, 132.95 132.95 68.74°
Element x y z (fractional)
Ca1 0.117 0.367 0.750
Ca2 0.367 0.117 0.250
Ca3 0.633 0.883 0.750
Ca4 0.883 0.633 0.250
Sb1 0.125 0.875 0.250
Sb2 0.875 0.125 0.750
Cl1 0.375 0.625 0.750
Cl2 0.625 0.375 0.250

Results
As for the total DFT energy (no corrections): -3.99 eV/atom. The space group is I4_1/amd. The calculation puts the formation energy from raw total energies at -144.7 kJ per mole of atoms. The volume comes out at 30.23 A^3/atom.

---

12.
This record from the Alexandria database describes an optimized crystal structure of TcPdI. The functional is PBE.

Cell: 11.388 3.725 3.725 Å, 59.95 90.00 90.00°
Element x y z (fractional)
Tc1 0.127 0.000 0.000
Tc2 0.873 0.000 0.000
Pd1 0.000 0.667 0.667
Pd2 0.500 0.669 0.669
I1 0.273 0.667 0.667
I2 0.727 0.667 0.667

Results
As for the total DFT energy (no corrections): -5.06 eV/atom. The space group is Amm2. The calculation puts the formation energy from raw total energies at 62.1 kJ per mole of atoms. The volume comes out at 22.80 A^3/atom.

---

- The highest total DFT energy (no corrections) belongs to which entry?
  InTe2N2

---

What did the twelfth record say?
This record from the Alexandria database describes an optimized crystal structure of TcPdI. The functional is PBE.

Cell: 11.388 3.725 3.725 Å, 59.95 90.00 90.00°
Element x y z (fractional)
Tc1 0.127 0.000 0.000
Tc2 0.873 0.000 0.000
Pd1 0.000 0.667 0.667
Pd2 0.500 0.669 0.669
I1 0.273 0.667 0.667
I2 0.727 0.667 0.667

Results
As for the total DFT energy (no corrections): -5.06 eV/atom. The space group is Amm2. The calculation puts the formation energy from raw total energies at 62.1 kJ per mole of atoms. The volume comes out at 22.80 A^3/atom.